[1]
Material: HfSc2Al
Method: DFT, PBE-GGA
State: optimized geometry

Properties
The calculated volume is 83.5 Å³/cell. The formation energy is -204.8 meV/atom. For the total energy, the calculation gives -6.795 eV/atom.

Cell: 4.346 4.346 4.420 Å, 90.00 90.00 90.00°
Fractional positions:
Hf1 0.000 0.000 0.000
Sc1 0.000 0.500 0.500
Sc2 0.500 0.000 0.500
Al1 0.500 0.500 0.000



[2]
Material: TcPtW2
Method: DFT, PBE-GGA
State: optimized geometry

Properties
The calculated volume is 63.0 Å³/cell. The value obtained for the energy above the most stable polymorph in this dataset is 338 meV per atom. The formation energy is 205.5 meV/atom. For the total energy, the calculation gives -10.373 eV/atom.

Cell: 4.467 4.467 4.467 Å, 60.00 60.00 60.00°
Fractional positions:
Tc1 0.000 0.000 0.000
Pt1 0.250 0.250 0.250
W1 0.500 0.500 0.500
W2 0.750 0.750 0.750



Repeat the first record exactly.
Material: HfSc2Al
Method: DFT, PBE-GGA
State: optimized geometry

Properties
The calculated volume is 83.5 Å³/cell. The formation energy is -204.8 meV/atom. For the total energy, the calculation gives -6.795 eV/atom.

Cell: 4.346 4.346 4.420 Å, 90.00 90.00 90.00°
Fractional positions:
Hf1 0.000 0.000 0.000
Sc1 0.000 0.500 0.500
Sc2 0.500 0.000 0.500
Al1 0.500 0.500 0.000



Repeat the second record exactly.
Material: TcPtW2
Method: DFT, PBE-GGA
State: optimized geometry

Properties
The calculated volume is 63.0 Å³/cell. The value obtained for the energy above the most stable polymorph in this dataset is 338 meV per atom. The formation energy is 205.5 meV/atom. For the total energy, the calculation gives -10.373 eV/atom.

Cell: 4.467 4.467 4.467 Å, 60.00 60.00 60.00°
Fractional positions:
Tc1 0.000 0.000 0.000
Pt1 0.250 0.250 0.250
W1 0.500 0.500 0.500
W2 0.750 0.750 0.750